1.
# PmPr6Nd3Tm2

PmPr6Nd3Tm2 after structural relaxation (PBE-GGA, the Alexandria database).

Summary:
raw total energy: -4.707 eV/atom
DOS at the Fermi energy: 16.37 states/eV/f.u.

a = 6.3601 Å, b = 11.0206 Å, c = 12.0815 Å
α = 90.00°, β = 100.12°, γ = 90.00°
Space group C2/m (No. 12)
One atom of each set of equivalent atoms:
1 Pm 0.0000 0.0000 0.0000 x2
2 Pr 0.2484 0.5000 0.2459 x4
3 Pr 0.2499 0.1672 0.2461 x8
4 Nd 0.0000 0.1668 0.5000 x4
5 Nd 0.0000 0.5000 0.5000 x2
6 Tm 0.0000 0.3334 0.0000 x4



2.
# SrSc3Pt

SrSc3Pt after structural relaxation (PBE-GGA, the Alexandria database).

Summary:
raw total energy: -5.697 eV/atom
energy above the lowest structure with this stoichiometry: 0.000 eV/atom
DOS at the Fermi energy: 5.94 states/eV/f.u.

a = 5.2388 Å, b = 5.2388 Å, c = 5.2388 Å
α = 90.00°, β = 90.00°, γ = 90.00°
Space group Pm-3m (No. 221)
One atom of each set of equivalent atoms:
1 Sr 0.0000 0.0000 0.0000 x1
2 Sc 0.0000 0.5000 0.5000 x3
3 Pt 0.5000 0.5000 0.5000 x1



Sequential energy of formation output: 0.015, -0.353 eV per atom